## RbSr2FeO4 (GGA+U)

Data for a relaxed RbSr2FeO4 crystal.

a b c (Å): 3.5763 12.9693 12.4657
angles (deg): 90.00 90.00 90.00
With the nearest neighbours (Å) after each atom.
Space group Cmcm (No. 63)
One atom of each set of equivalent atoms:
Rb 0.0000 0.0906 0.2500 x4  8 O 3.11-3.33, 2 Fe 3.48
Sr 0.0000 0.3713 0.0364 x8  6 O 2.49-2.68
Fe 0.0000 0.1792 0.7500 x4  4 O 1.86-2.02
O 0.0000 0.0000 0.0000 x4  4 Sr 2.49
O 0.0000 0.2523 0.6212 x8  1 Fe 1.86
O 0.0000 0.3940 0.2500 x4  2 Fe 2.02

DOS at the Fermi energy	0.00	states/eV/f.u.
electronic total energy	-5.83	eV/atom